UFe6P2 after structural relaxation, computed with GGA-PBE.

As for the total energy: -8.477 eV/atom. For the density of states at the Fermi level, the calculation gives 9.7 states/eV per cell.

Lattice parameters (Å, degrees): 3.9511 3.9511 7.4692 90.00 90.00 90.00
With the nearest neighbours (Å) after each atom.
Element x y z (fractional)
U 0.0000 0.0000 0.0000  8 Fe 2.99, 8 P 3.02
P 0.5000 0.5000 0.8460  4 Fe 2.26, 1 P 2.30
P 0.5000 0.5000 0.1540  4 Fe 2.26, 1 P 2.30
Fe 0.5000 0.5000 0.5000  8 Fe 2.47, 2 P 2.58
Fe 0.0000 0.0000 0.5000  8 Fe 2.47
Fe 0.0000 0.5000 0.3009  2 P 2.26, 4 Fe 2.47
Fe 0.5000 0.0000 0.6991  2 P 2.26, 4 Fe 2.47
Fe 0.5000 0.0000 0.3009  2 P 2.26, 4 Fe 2.47
Fe 0.0000 0.5000 0.6991  2 P 2.26, 4 Fe 2.47